Entry 1:
Compound: TbCdAg
Source: the Alexandria database
Functional: PBE-GGA
Structure: optimized geometry

Output
The theoretical density is 9.0 Mg/m³. The value obtained for the volume is 70 Å³/f.u. Its total magnetic moment is 0.00 μB/cell.

a = 4.9140 Å, b = 4.9140 Å, c = 3.3351 Å
α = 90.00°, β = 90.00°, γ = 120.00°
Closest atoms and distances in Å follow each position.
Element x y z (fractional)
Tb 0.0000 0.0000 0.0000  6 Cd 3.29, 6 Ag 3.29, 2 Tb 3.34
Cd 0.3333 0.6667 0.5000  3 Ag 2.84
Ag 0.6667 0.3333 0.5000  3 Cd 2.84

***

Entry 2:
Compound: Li8Bi2Pb
Source: the Alexandria database
Functional: PBE-GGA
Structure: optimized geometry

Output
The theoretical density is 5.0 Mg/m³. The value obtained for the volume is 225 Å³/f.u. Its total magnetic moment is 0.00 μB/cell.

a = 7.5562 Å, b = 7.5562 Å, c = 7.7633 Å
α = 120.32°, β = 120.32°, γ = 36.78°
Closest atoms and distances in Å follow each position.
Element x y z (fractional)
Li 0.0116 0.0116 0.2963  6 Li 2.79-3.03, 2 Bi 2.89-2.98
Li 0.1517 0.1517 0.1164  4 Li 2.79-3.00, 2 Bi 3.01, 2 Pb 3.02
Li 0.3372 0.3372 0.5432  3 Bi 2.90-2.96, 4 Li 2.95-3.17, 1 Pb 3.04
Li 0.3575 0.3575 0.1557  3 Li 2.80-3.03, 1 Pb 2.87, 3 Bi 2.88-2.96
Li 0.6425 0.6425 0.8443  3 Li 2.80-3.03, 1 Pb 2.87, 3 Bi 2.88-2.96
Li 0.6628 0.6628 0.4568  3 Bi 2.90-2.96, 4 Li 2.95-3.17, 1 Pb 3.04
Li 0.8483 0.8483 0.8836  4 Li 2.79-3.00, 2 Bi 3.01, 2 Pb 3.02
Li 0.9884 0.9884 0.7037  6 Li 2.79-3.03, 2 Bi 2.89-2.98
Bi 0.1981 0.1981 0.7098  10 Li 2.88-3.01
Bi 0.8019 0.8019 0.2902  10 Li 2.88-3.01
Pb 0.5000 0.5000 0.0000  8 Li 2.87-3.04

***

Result set for ΔE_f: -28.2; -41.1 kJ per mole of atoms, one per record in the order listed.